MnAgSnF6 | GGA+U | optimized geometry

CIF file:
```
data_MnAgSnF6
_symmetry_space_group_name_H-M 'P -3 1 c'
_symmetry_Int_Tables_number 163
_symmetry_space_group_name_Hall '-P 3 2c'
_cell_length_a 5.8602
_cell_length_b 5.8602
_cell_length_c 9.7308
_cell_angle_alpha 90.00
_cell_angle_beta 90.00
_cell_angle_gamma 120.00
loop_
_atom_site_label
_atom_site_fract_x
_atom_site_fract_y
_atom_site_fract_z
Mn1 0.3333 0.6667 0.2500
Ag1 0.0000 0.0000 0.0000
Sn1 0.3333 0.6667 0.7500
F1 0.0009 0.3642 0.1372
```

## Properties
Theoretical density (g cm⁻³): 4.5
V (Å³ per cell): 289
VASP energy (eV per atom): -4.9383

TbMnAg2F6 | GGA+U | optimized geometry

CIF file:
```
data_TbMnAg2F6
_symmetry_space_group_name_H-M 'P -1'
_symmetry_Int_Tables_number 2
_symmetry_space_group_name_Hall '-P 1'
_cell_length_a 6.083
_cell_length_b 6.088
_cell_length_c 6.091
_cell_angle_alpha 60.15
_cell_angle_beta 60.19
_cell_angle_gamma 60.08
loop_
_atom_site_label
_atom_site_fract_x
_atom_site_fract_y
_atom_site_fract_z
Tb1 0.000 0.000 0.000
Mn1 0.500 0.500 0.500
Ag1 0.250 0.249 0.251
F1 0.187 0.749 0.744
F2 0.254 0.679 0.253
F3 0.318 0.188 0.749
```

## Properties
Theoretical density (g cm⁻³): 5.6
V (Å³ per cell): 160
VASP energy (eV per atom): -5.3058

MnAgTeF2 | GGA+U | optimized geometry

CIF file:
```
data_MnAgTeF2
_symmetry_space_group_name_H-M 'P 4/m m m'
_symmetry_Int_Tables_number 123
_symmetry_space_group_name_Hall '-P 4 2'
_cell_length_a 4.018
_cell_length_b 4.018
_cell_length_c 6.246
_cell_angle_alpha 90.00
_cell_angle_beta 90.00
_cell_angle_gamma 90.00
loop_
_atom_site_label
_atom_site_fract_x
_atom_site_fract_y
_atom_site_fract_z
Mn1 0.000 0.000 0.000
Ag1 0.500 0.500 0.500
Te1 0.000 0.000 0.500
F1 0.000 0.500 0.000
```

## Properties
Theoretical density (g cm⁻³): 5.4
V (Å³ per cell): 101
VASP energy (eV per atom): -4.8714

MnTlAg2F6 | GGA+U | optimized geometry

CIF file:
```
data_MnTlAg2F6
_symmetry_space_group_name_H-M 'P -1'
_symmetry_Int_Tables_number 2
_symmetry_space_group_name_Hall '-P 1'
_cell_length_a 6.043
_cell_length_b 6.053
_cell_length_c 6.100
_cell_angle_alpha 62.20
_cell_angle_beta 62.09
_cell_angle_gamma 62.27
loop_
_atom_site_label
_atom_site_fract_x
_atom_site_fract_y
_atom_site_fract_z
Mn1 0.000 0.000 0.000
Tl1 0.500 0.500 0.500
Ag1 0.231 0.235 0.230
F1 0.064 0.824 0.336
F2 0.170 0.670 0.927
F3 0.334 0.066 0.836
```

## Properties
Theoretical density (g cm⁻³): 5.9
V (Å³ per cell): 165
VASP energy (eV per atom): -4.3082

MnTl2Ag2F6 | GGA+U | optimized geometry

CIF file:
```
data_MnTl2Ag2F6
_symmetry_space_group_name_H-M 'C 1 2/m 1'
_symmetry_Int_Tables_number 12
_symmetry_space_group_name_Hall '-C 2y'
_cell_length_a 11.437
_cell_length_b 5.885
_cell_length_c 7.345
_cell_angle_alpha 90.00
_cell_angle_beta 124.61
_cell_angle_gamma 90.00
loop_
_atom_site_label
_atom_site_fract_x
_atom_site_fract_y
_atom_site_fract_z
Mn1 0.000 0.000 0.000
Tl1 0.230 0.000 0.784
Ag1 0.082 0.500 0.399
F1 0.076 0.248 0.874
F2 0.206 0.000 0.294
```

## Properties
Theoretical density (g cm⁻³): 6.5
V (Å³ per cell): 407
VASP energy (eV per atom): -4.3750

Mn2Tl3AgF9 | GGA+U | optimized geometry

CIF file:
```
data_Mn2Tl3AgF9
_symmetry_space_group_name_H-M 'P -3 m 1'
_symmetry_Int_Tables_number 164
_symmetry_space_group_name_Hall '-P 3 2"'
_cell_length_a 6.1250
_cell_length_b 6.1250
_cell_length_c 7.5839
_cell_angle_alpha 90.00
_cell_angle_beta 90.00
_cell_angle_gamma 120.00
loop_
_atom_site_label
_atom_site_fract_x
_atom_site_fract_y
_atom_site_fract_z
Mn1 0.3333 0.6667 0.1538
Tl1 0.0000 0.0000 0.0000
Tl2 0.3333 0.6667 0.6455
Ag1 0.0000 0.0000 0.5000
F1 0.0000 0.5000 0.0000
F2 0.1770 0.3540 0.3132
```

## Properties
Theoretical density (g cm⁻³): 6.8
V (Å³ per cell): 246
VASP energy (eV per atom): -4.8548

MnTlAgF4 | GGA+U | optimized geometry

CIF file:
```
data_MnTlAgF4
_symmetry_space_group_name_H-M 'P 1 21/m 1'
_symmetry_Int_Tables_number 11
_symmetry_space_group_name_Hall '-P 2yb'
_cell_length_a 4.300
_cell_length_b 6.215
_cell_length_c 9.008
_cell_angle_alpha 90.00
_cell_angle_beta 94.00
_cell_angle_gamma 90.00
loop_
_atom_site_label
_atom_site_fract_x
_atom_site_fract_y
_atom_site_fract_z
Mn1 0.058 0.250 0.331
Tl1 0.312 0.250 0.948
Ag1 0.397 0.750 0.345
F1 0.089 0.009 0.172
F2 0.100 0.250 0.562
F3 0.431 0.750 0.648
```

## Properties
Theoretical density (g cm⁻³): 6.1
V (Å³ per cell): 240
VASP energy (eV per atom): -4.7686

TmMnAgF6 | GGA+U | optimized geometry

CIF file:
```
data_TmMnAgF6
_symmetry_space_group_name_H-M 'P 42 n m'
_symmetry_Int_Tables_number 102
_symmetry_space_group_name_Hall 'P 4n -2n'
_cell_length_a 5.247
_cell_length_b 5.247
_cell_length_c 10.409
_cell_angle_alpha 90.00
_cell_angle_beta 90.00
_cell_angle_gamma 90.00
loop_
_atom_site_label
_atom_site_fract_x
_atom_site_fract_y
_atom_site_fract_z
Tm1 0.000 0.000 0.000
Mn1 0.000 0.000 0.338
Ag1 0.000 0.000 0.669
F1 0.175 0.175 0.168
F2 0.211 0.211 0.480
F3 0.214 0.214 0.860
```

## Properties
Theoretical density (g cm⁻³): 5.2
V (Å³ per cell): 287
VASP energy (eV per atom): -5.8361

MnVAgF6 | GGA+U | optimized geometry

CIF file:
```
data_MnVAgF6
_symmetry_space_group_name_H-M 'P -3 1 c'
_symmetry_Int_Tables_number 163
_symmetry_space_group_name_Hall '-P 3 2c'
_cell_length_a 5.5594
_cell_length_b 5.5594
_cell_length_c 10.2502
_cell_angle_alpha 90.00
_cell_angle_beta 90.00
_cell_angle_gamma 120.00
loop_
_atom_site_label
_atom_site_fract_x
_atom_site_fract_y
_atom_site_fract_z
Mn1 0.3333 0.6667 0.2500
V1 0.3333 0.6667 0.7500
Ag1 0.0000 0.0000 0.0000
F1 0.0228 0.3775 0.6451
```

## Properties
Theoretical density (g cm⁻³): 4.0
V (Å³ per cell): 274
VASP energy (eV per atom): -5.6082

MnZnAgF6 | GGA+U | optimized geometry

CIF file:
```
data_MnZnAgF6
_symmetry_space_group_name_H-M 'P -3 1 c'
_symmetry_Int_Tables_number 163
_symmetry_space_group_name_Hall '-P 3 2c'
_cell_length_a 5.4096
_cell_length_b 5.4096
_cell_length_c 10.0037
_cell_angle_alpha 90.00
_cell_angle_beta 90.00
_cell_angle_gamma 120.00
loop_
_atom_site_label
_atom_site_fract_x
_atom_site_fract_y
_atom_site_fract_z
Mn1 0.3333 0.6667 0.2500
Zn1 0.3333 0.6667 0.7500
Ag1 0.0000 0.0000 0.0000
F1 0.0073 0.3620 0.1415
```

## Properties
Theoretical density (g cm⁻³): 4.5
V (Å³ per cell): 254
VASP energy (eV per atom): -4.5887

ZrMnAgF2 | GGA+U | optimized geometry

CIF file:
```
data_ZrMnAgF2
_symmetry_space_group_name_H-M 'P 4/m m m'
_symmetry_Int_Tables_number 123
_symmetry_space_group_name_Hall '-P 4 2'
_cell_length_a 4.163
_cell_length_b 4.163
_cell_length_c 5.863
_cell_angle_alpha 90.00
_cell_angle_beta 90.00
_cell_angle_gamma 90.00
loop_
_atom_site_label
_atom_site_fract_x
_atom_site_fract_y
_atom_site_fract_z
Zr1 0.000 0.000 0.000
Mn1 0.500 0.500 0.500
Ag1 0.000 0.000 0.500
F1 0.000 0.500 0.000
```

## Properties
Theoretical density (g cm⁻³): 4.8
V (Å³ per cell): 102
VASP energy (eV per atom): -5.8522

ZrMnAg2F | GGA+U | optimized geometry

CIF file:
```
data_ZrMnAg2F
_symmetry_space_group_name_H-M 'P 4/m m m'
_symmetry_Int_Tables_number 123
_symmetry_space_group_name_Hall '-P 4 2'
_cell_length_a 5.126
_cell_length_b 5.126
_cell_length_c 3.809
_cell_angle_alpha 90.00
_cell_angle_beta 90.00
_cell_angle_gamma 90.00
loop_
_atom_site_label
_atom_site_fract_x
_atom_site_fract_y
_atom_site_fract_z
Zr1 0.000 0.000 0.000
Mn1 0.500 0.500 0.000
Ag1 0.000 0.500 0.500
F1 0.500 0.500 0.500
```

## Properties
Theoretical density (g cm⁻³): 6.3
V (Å³ per cell): 100
VASP energy (eV per atom): -4.7666

Ag5Mo2F12 | GGA+U | optimized geometry

CIF file:
```
data_Ag5Mo2F12
_symmetry_space_group_name_H-M 'C 1 2/m 1'
_symmetry_Int_Tables_number 12
_symmetry_space_group_name_Hall '-C 2y'
_cell_length_a 11.835
_cell_length_b 6.640
_cell_length_c 8.613
_cell_angle_alpha 90.00
_cell_angle_beta 101.97
_cell_angle_gamma 90.00
loop_
_atom_site_label
_atom_site_fract_x
_atom_site_fract_y
_atom_site_fract_z
Ag1 0.000 0.000 0.000
Ag2 0.198 0.500 0.874
Ag3 0.217 0.500 0.212
Mo1 0.000 0.248 0.500
F1 0.049 0.000 0.374
F2 0.049 0.500 0.373
F3 0.132 0.237 0.047
F4 0.160 0.253 0.655
```

## Properties
Theoretical density (g cm⁻³): 4.8
V (Å³ per cell): 662
VASP energy (eV per atom): -4.3378

Ag3MoF | GGA+U | optimized geometry

CIF file:
```
data_Ag3MoF
_symmetry_space_group_name_H-M 'P m -3 m'
_symmetry_Int_Tables_number 221
_symmetry_space_group_name_Hall '-P 4 2 3'
_cell_length_a 4.655
_cell_length_b 4.655
_cell_length_c 4.655
_cell_angle_alpha 90.00
_cell_angle_beta 90.00
_cell_angle_gamma 90.00
loop_
_atom_site_label
_atom_site_fract_x
_atom_site_fract_y
_atom_site_fract_z
Ag1 0.000 0.000 0.500
Mo1 0.500 0.500 0.500
F1 0.000 0.000 0.000
```

## Properties
Theoretical density (g cm⁻³): 7.2
V (Å³ per cell): 101
Distance to the lowest polymorph of the same formula (meV per atom): 0.0

Ag3MoF | GGA+U | optimized geometry

CIF file:
```
data_Ag3MoF
_symmetry_space_group_name_H-M 'P m -3 m'
_symmetry_Int_Tables_number 221
_symmetry_space_group_name_Hall '-P 4 2 3'
_cell_length_a 5.438
_cell_length_b 5.438
_cell_length_c 5.438
_cell_angle_alpha 90.00
_cell_angle_beta 90.00
_cell_angle_gamma 90.00
loop_
_atom_site_label
_atom_site_fract_x
_atom_site_fract_y
_atom_site_fract_z
Ag1 0.000 0.000 0.500
Mo1 0.000 0.000 0.000
F1 0.500 0.500 0.500
```

## Properties
Theoretical density (g cm⁻³): 4.5
V (Å³ per cell): 161
Distance to the lowest polymorph of the same formula (meV per atom): 742.1

AgMoF2 | GGA+U | optimized geometry

CIF file:
```
data_AgMoF2
_symmetry_space_group_name_H-M 'F m -3 m'
_symmetry_Int_Tables_number 225
_symmetry_space_group_name_Hall '-F 4 2 3'
_cell_length_a 6.234
_cell_length_b 6.234
_cell_length_c 6.234
_cell_angle_alpha 90.00
_cell_angle_beta 90.00
_cell_angle_gamma 90.00
loop_
_atom_site_label
_atom_site_fract_x
_atom_site_fract_y
_atom_site_fract_z
Ag1 0.000 0.000 0.000
Mo1 0.000 0.000 0.500
F1 0.250 0.250 0.250
```

## Properties
Theoretical density (g cm⁻³): 6.6
V (Å³ per cell): 242
Distance to the lowest polymorph of the same formula (meV per atom): 279.4

AgMo3F | GGA+U | optimized geometry

CIF file:
```
data_AgMo3F
_symmetry_space_group_name_H-M 'P m -3 m'
_symmetry_Int_Tables_number 221
_symmetry_space_group_name_Hall '-P 4 2 3'
_cell_length_a 4.271
_cell_length_b 4.271
_cell_length_c 4.271
_cell_angle_alpha 90.00
_cell_angle_beta 90.00
_cell_angle_gamma 90.00
loop_
_atom_site_label
_atom_site_fract_x
_atom_site_fract_y
_atom_site_fract_z
Ag1 0.000 0.000 0.000
Mo1 0.000 0.500 0.500
F1 0.500 0.500 0.500
```

## Properties
Theoretical density (g cm⁻³): 8.8
V (Å³ per cell): 78
Distance to the lowest polymorph of the same formula (meV per atom): 0.0

Ag2MoF6 | GGA+U | optimized geometry

CIF file:
```
data_Ag2MoF6
_symmetry_space_group_name_H-M 'P 1 21/c 1'
_symmetry_Int_Tables_number 14
_symmetry_space_group_name_Hall '-P 2ybc'
_cell_length_a 6.654
_cell_length_b 7.199
_cell_length_c 7.489
_cell_angle_alpha 90.00
_cell_angle_beta 121.45
_cell_angle_gamma 90.00
loop_
_atom_site_label
_atom_site_fract_x
_atom_site_fract_y
_atom_site_fract_z
Ag1 0.157 0.000 0.339
Mo1 0.500 0.000 0.000
F1 0.223 0.001 0.695
F2 0.248 0.000 0.066
F3 0.500 0.224 0.501
```

## Properties
Theoretical density (g cm⁻³): 4.6
V (Å³ per cell): 306
VASP energy (eV per atom): -4.5380

AgMoF2 | GGA+U | optimized geometry

CIF file:
```
data_AgMoF2
_symmetry_space_group_name_H-M 'R -3 m'
_symmetry_Int_Tables_number 166
_symmetry_space_group_name_Hall '-R 3 2"'
_cell_length_a 2.8222
_cell_length_b 2.8222
_cell_length_c 29.8326
_cell_angle_alpha 90.00
_cell_angle_beta 90.00
_cell_angle_gamma 120.00
loop_
_atom_site_label
_atom_site_fract_x
_atom_site_fract_y
_atom_site_fract_z
Ag1 0.0000 0.0000 0.0000
Mo1 0.0000 0.0000 0.5000
F1 0.0000 0.0000 0.1163
```

## Properties
Theoretical density (g cm⁻³): 5.9
V (Å³ per cell): 206
Distance to the lowest polymorph of the same formula (meV per atom): 39.6

AgMo2F11 | GGA+U | optimized geometry

CIF file:
```
data_AgMo2F11
_symmetry_space_group_name_H-M 'I b a m'
_symmetry_Int_Tables_number 72
_symmetry_space_group_name_Hall '-I 2 2c'
_cell_length_a 9.335
_cell_length_b 9.490
_cell_length_c 10.649
_cell_angle_alpha 90.00
_cell_angle_beta 90.00
_cell_angle_gamma 90.00
loop_
_atom_site_label
_atom_site_fract_x
_atom_site_fract_y
_atom_site_fract_z
Ag1 0.000 0.000 0.250
Mo1 0.157 0.343 0.000
F1 0.000 0.500 0.000
F2 0.051 0.243 0.124
F3 0.203 0.300 0.500
F4 0.238 0.054 0.376
```

## Properties
Theoretical density (g cm⁻³): 3.6
V (Å³ per cell): 943
VASP energy (eV per atom): -4.8796